Density functional theory data (PBE) for crystalline AcNbNO at its relaxed geometry.

Properties
The value obtained for the energy above the most stable polymorph in this dataset is 29.6 kJ per mole of atoms. As for the size of the total moment: 0.1 μB/f.u.

extended XYZ file:
```
16
Lattice="5.420 0.000 0.000 0.000 6.896 0.000 0.000 0.000 7.321" Properties=species:S:1:pos:R:3 pbc="T T T"
Ac 0.057 3.921 2.478
Ac 2.767 6.423 2.478
Ac 0.057 0.473 4.844
Ac 2.767 2.975 4.844
N 3.620 0.754 0.192
N 0.910 2.694 0.192
N 3.620 4.202 7.130
N 0.910 6.142 7.130
Nb 0.146 0.938 0.942
Nb 2.856 2.510 0.942
Nb 0.146 4.386 6.379
Nb 2.856 5.958 6.379
O 2.694 3.922 2.565
O 5.404 6.422 2.565
O 2.694 0.474 4.756
O 5.404 2.974 4.756
```



Density functional theory data (PBE) for crystalline AcNbNO at its relaxed geometry.

Properties
The value obtained for the energy above the most stable polymorph in this dataset is 18.0 kJ per mole of atoms. As for the size of the total moment: 0.0 μB/f.u.

extended XYZ file:
```
8
Lattice="0.185 0.309 4.137 -0.105 -5.555 0.420 5.648 -0.125 -0.243" Properties=species:S:1:pos:R:3 pbc="T T T"
Ac 1.254 -2.813 0.154
Ac 4.341 -0.103 -0.187
N 1.687 -0.046 -0.072
N 3.908 -2.874 0.040
Nb 1.659 0.114 2.001
Nb 4.121 -2.719 2.103
O 0.018 -4.012 2.383
O 5.710 -1.360 1.930
```



Density functional theory data (PBE) for crystalline AcNiN3 at its relaxed geometry.

Properties
As for the size of the total moment: 0.0 μB/f.u. Its electronic total energy is -7.37 eV per atom.

extended XYZ file:
```
10
Lattice="5.396 -2.047 0.000 5.396 2.047 0.000 -2.004 0.000 7.680" Properties=species:S:1:pos:R:3 pbc="T T T"
Ac 8.732 0.000 1.473
Ac 0.057 0.000 6.207
N 3.950 0.000 0.192
N 5.798 0.000 3.014
N 2.886 0.000 3.497
N 5.902 0.000 4.182
N 2.990 0.000 4.666
N 4.838 0.000 7.488
Ni 5.697 0.000 1.327
Ni 3.092 0.000 6.353
```



Density functional theory data (PBE) for crystalline AcNpN3 at its relaxed geometry.

Properties
As for the size of the total moment: 1.0 μB/f.u. Its electronic total energy is -9.61 eV per atom.

extended XYZ file:
```
5
Lattice="-0.110 -2.578 -3.395 4.250 -0.327 0.110 -0.327 -3.381 2.578" Properties=species:S:1:pos:R:3 pbc="T T T"
Ac 1.907 -3.142 -0.353
N -0.055 -1.289 -1.697
N 2.125 -0.163 0.055
N -0.163 -1.690 1.289
Np 0.000 0.000 0.000
```



Density functional theory data (PBE) for crystalline Ac2NpN4 at its relaxed geometry.

Properties
As for the size of the total moment: 1.0 μB/f.u. Its electronic total energy is -8.99 eV per atom.

extended XYZ file:
```
7
Lattice="-2.128 2.128 6.652 2.128 -2.128 6.652 2.128 2.128 -6.652" Properties=species:S:1:pos:R:3 pbc="T T T"
Ac 0.000 0.000 4.702
Ac 0.000 0.000 8.602
N 0.000 0.000 2.178
N 0.000 0.000 11.125
N 0.000 2.128 0.000
N 2.128 0.000 0.000
Np 0.000 0.000 0.000
```



Density functional theory data (PBE) for crystalline AcPmNO at its relaxed geometry.

Properties
The value obtained for the energy above the most stable polymorph in this dataset is 2.1 kJ per mole of atoms. As for the size of the total moment: 0.9 μB/f.u.

extended XYZ file:
```
8
Lattice="3.856 0.866 1.116 -1.162 5.919 -0.576 -2.018 0.262 6.770" Properties=species:S:1:pos:R:3 pbc="T T T"
Ac 0.445 6.308 1.122
Ac -0.317 3.523 5.917
N -1.737 5.263 1.917
N -1.731 2.378 4.135
O 1.069 2.877 1.630
O -0.753 5.998 5.503
Pm -1.238 2.993 1.954
Pm -2.503 6.041 3.963
```



Density functional theory data (PBE) for crystalline AcPmNO at its relaxed geometry.

Properties
The value obtained for the energy above the most stable polymorph in this dataset is 0.0 kJ per mole of atoms. As for the size of the total moment: 0.0 μB/f.u.

extended XYZ file:
```
8
Lattice="5.297 0.000 0.000 0.000 5.297 0.000 0.000 0.000 5.154" Properties=species:S:1:pos:R:3 pbc="T T T"
Ac 3.972 1.324 2.577
Ac 1.324 3.972 2.577
N 3.972 3.972 2.554
N 1.324 1.324 2.600
O 3.972 1.324 0.000
O 1.324 3.972 0.000
Pm 3.973 3.973 0.006
Pm 1.324 1.324 5.148
```



Density functional theory data (PBE) for crystalline AcPmNO at its relaxed geometry.

Properties
The value obtained for the energy above the most stable polymorph in this dataset is 28.0 kJ per mole of atoms. As for the size of the total moment: 0.8 μB/f.u.

extended XYZ file:
```
8
Lattice="-1.136 0.488 -4.276 -4.225 -0.970 1.011 -1.670 8.777 1.444" Properties=species:S:1:pos:R:3 pbc="T T T"
Ac -1.549 0.975 -0.636
Ac -5.482 7.319 -1.184
N -4.670 3.050 -1.887
N -2.361 5.244 0.067
O -1.908 0.123 -2.954
O -3.452 -0.606 -0.310
Pm -2.743 4.511 -2.232
Pm -4.288 3.782 0.412
```



Density functional theory data (PBE) for crystalline AcPmNO at its relaxed geometry.

Properties
The value obtained for the energy above the most stable polymorph in this dataset is 3.3 kJ per mole of atoms. As for the size of the total moment: 0.9 μB/f.u.

extended XYZ file:
```
8
Lattice="-3.373 2.113 -0.974 -1.765 -4.500 -3.651 -3.466 -3.035 5.416" Properties=species:S:1:pos:R:3 pbc="T T T"
Ac -2.047 -3.219 0.105
Ac -4.005 -6.411 -0.040
N -2.625 -4.942 -1.633
N -3.117 -3.895 2.341
O -2.835 -1.074 -1.131
O -6.229 -5.523 0.968
Pm -4.046 -3.951 -3.183
Pm -5.426 -3.683 2.179
```



Density functional theory data (PBE) for crystalline AcPtNO at its relaxed geometry.

Properties
The value obtained for the energy above the most stable polymorph in this dataset is 7.0 kJ per mole of atoms. As for the size of the total moment: 0.0 μB/f.u.

extended XYZ file:
```
8
Lattice="4.808 0.000 0.000 0.000 4.919 0.000 0.000 0.003 7.569" Properties=species:S:1:pos:R:3 pbc="T T T"
Ac 2.404 4.626 1.437
Ac 2.404 2.170 6.131
N 0.000 4.139 2.341
N 0.000 1.680 5.229
O 2.404 2.147 0.871
O 2.404 4.609 6.698
Pt 0.000 2.636 3.475
Pt 0.000 0.179 4.095
```



Density functional theory data (PBE) for crystalline AcPtNO at its relaxed geometry.

Properties
The value obtained for the energy above the most stable polymorph in this dataset is 0.0 kJ per mole of atoms. As for the size of the total moment: 0.0 μB/f.u.

extended XYZ file:
```
8
Lattice="3.681 0.000 0.000 0.000 6.146 0.000 0.000 0.000 6.245" Properties=species:S:1:pos:R:3 pbc="T T T"
Ac 0.000 3.302 0.971
Ac 0.000 0.230 5.274
N 0.000 5.923 2.476
N 0.000 2.850 3.769
O 1.841 1.768 0.127
O 1.841 4.841 6.118
Pt 1.841 5.932 2.527
Pt 1.841 2.859 3.717
```



Density functional theory data (PBE) for crystalline AcPtNO at its relaxed geometry.

Properties
The value obtained for the energy above the most stable polymorph in this dataset is 2.2 kJ per mole of atoms. As for the size of the total moment: 0.0 μB/f.u.

extended XYZ file:
```
8
Lattice="-0.944 -3.871 1.492 3.238 -1.643 -2.217 4.716 1.170 6.020" Properties=species:S:1:pos:R:3 pbc="T T T"
Ac 1.342 -1.188 0.799
Ac 5.668 -3.156 4.495
N 3.907 -3.593 2.247
N 3.103 -0.751 3.048
O 0.102 -3.314 0.564
O 2.193 -2.200 -1.290
Pt 2.460 -2.729 3.574
Pt 4.550 -1.615 1.720
```